NpCl4: optimized geometry, PBE.

Unit cell a=5.3251 b=5.3251 c=5.3251 alpha=90.00 beta=90.00 gamma=90.00
With the nearest neighbours (Å) after each atom.
Fractional coordinates of all 5 atoms:
Np (0.0000, 0.0000, 0.0000)  6 Cl 2.66
Cl (0.0000, 0.0000, 0.5000)  2 Np 2.66
Cl (0.0000, 0.5000, 0.0000)  2 Np 2.66
Cl (0.5000, 0.0000, 0.0000)  2 Np 2.66
Cl (0.5000, 0.5000, 0.5000)  12 Cl 3.77

Results
volume = 151.0 Å³ per cell
uncorrected formation energy = -1.188 eV/atom

NpCl2O: optimized geometry, PBE.

Unit cell a=7.1958 b=7.1958 c=7.1958 alpha=146.70 beta=146.48 gamma=47.97
With the nearest neighbours (Å) after each atom.
Fractional coordinates of all 4 atoms:
Np (0.0000, 0.0000, 0.0000)  2 O 2.06
Cl (0.3649, 0.8649, 0.5000)  2 Np 2.73
Cl (0.6351, 0.1351, 0.5000)  2 Np 2.73
O (0.0000, 0.5000, 0.5000)  2 Np 2.06

Results
volume = 112.5 Å³ per cell
uncorrected formation energy = -2.179 eV/atom
distance to the lowest polymorph of the same formula = 0.000 eV per atom